1.
# Th2FeB12Os3 (PBE-GGA, relaxed)
data_Th2FeB12Os3
_symmetry_space_group_name_H-M 'P 1'
_symmetry_Int_Tables_number 1
_symmetry_space_group_name_Hall 'P 1'
_cell_length_a 6.793
_cell_length_b 6.793
_cell_length_c 6.793
_cell_angle_alpha 61.44
_cell_angle_beta 61.44
_cell_angle_gamma 61.44
loop_
_atom_site_label
_atom_site_type_symbol
_atom_site_fract_x
_atom_site_fract_y
_atom_site_fract_z
_atom_site_occupancy
B1 B 0.891 0.891 0.329 1
Th1 Th 0.636 0.636 0.636 1
Os1 Os 0.000 0.000 0.500 1
B2 B 0.109 0.109 0.671 1
Th2 Th 0.364 0.364 0.364 1
B3 B 0.217 0.639 0.639 1
B4 B 0.109 0.671 0.109 1
Fe1 Fe 0.000 0.000 0.000 1
B5 B 0.639 0.217 0.639 1
B6 B 0.639 0.639 0.217 1
B7 B 0.329 0.891 0.891 1
B8 B 0.783 0.361 0.361 1
B9 B 0.891 0.329 0.891 1
B10 B 0.671 0.109 0.109 1
B11 B 0.361 0.783 0.361 1
Os2 Os 0.500 0.000 0.000 1
B12 B 0.361 0.361 0.783 1
Os3 Os 0.000 0.500 0.000 1
# * theoretical density: 8.855 g cm⁻³
# * magnetization: 0.59 μB per formula unit
# * energy of formation: 0.604 eV/atom
# * V: 228.85 Å³/f.u.
# * SG: R-3m, No. 166



2.
# SrNdGaHg (PBE-GGA, relaxed)
data_SrNdGaHg
_symmetry_space_group_name_H-M 'P 1'
_symmetry_Int_Tables_number 1
_symmetry_space_group_name_Hall 'P 1'
_cell_length_a 5.458
_cell_length_b 5.458
_cell_length_c 5.458
_cell_angle_alpha 60.00
_cell_angle_beta 60.00
_cell_angle_gamma 60.00
loop_
_atom_site_label
_atom_site_type_symbol
_atom_site_fract_x
_atom_site_fract_y
_atom_site_fract_z
_atom_site_occupancy
Sr1 Sr 0.000 0.000 0.000 1
Nd1 Nd 0.500 0.500 0.500 1
Ga1 Ga 0.250 0.250 0.250 1
Hg1 Hg 0.750 0.750 0.750 1
# * theoretical density: 7.251 g cm⁻³
# * magnetization: 0.00 μB per formula unit
# * energy of formation: -0.453 eV/atom
# * V: 115.00 Å³/f.u.
# * SG: F-43m, No. 216



3.
# BaInH3 (PBE-GGA, relaxed)
data_BaInH3
_symmetry_space_group_name_H-M 'P 1'
_symmetry_Int_Tables_number 1
_symmetry_space_group_name_Hall 'P 1'
_cell_length_a 4.313
_cell_length_b 4.313
_cell_length_c 4.313
_cell_angle_alpha 90.00
_cell_angle_beta 90.00
_cell_angle_gamma 90.00
loop_
_atom_site_label
_atom_site_type_symbol
_atom_site_fract_x
_atom_site_fract_y
_atom_site_fract_z
_atom_site_occupancy
In1 In 0.000 0.000 0.000 1
H1 H 0.000 0.000 0.500 1
H2 H 0.000 0.500 0.000 1
Ba1 Ba 0.500 0.500 0.500 1
H3 H 0.500 0.000 0.000 1
# * theoretical density: 5.279 g cm⁻³
# * magnetization: 0.00 μB per formula unit
# * V: 80.26 Å³/f.u.
# * SG: Pm-3m, No. 221
# * energy above the lowest structure with this stoichiometry: 171 meV per atom



4.
# SrScSb2 (PBE-GGA, relaxed)
data_SrScSb2
_symmetry_space_group_name_H-M 'P 1'
_symmetry_Int_Tables_number 1
_symmetry_space_group_name_Hall 'P 1'
_cell_length_a 4.382
_cell_length_b 4.382
_cell_length_c 7.990
_cell_angle_alpha 74.09
_cell_angle_beta 74.09
_cell_angle_gamma 60.00
loop_
_atom_site_label
_atom_site_type_symbol
_atom_site_fract_x
_atom_site_fract_y
_atom_site_fract_z
_atom_site_occupancy
Sb1 Sb 0.265 0.265 0.205 1
Sr1 Sr 0.497 0.497 0.508 1
Sb2 Sb 0.069 0.069 0.794 1
Sc1 Sc 0.669 0.669 0.993 1
# * theoretical density: 4.955 g cm⁻³
# * magnetization: 0.00 μB per formula unit
# * V: 126.03 Å³/f.u.
# * SG: R3m, No. 160
# * energy above the lowest structure with this stoichiometry: 27 meV per atom



5.
# Rb3Ge2P4 (PBE-GGA, relaxed)
data_Rb3Ge2P4
_symmetry_space_group_name_H-M 'P 1'
_symmetry_Int_Tables_number 1
_symmetry_space_group_name_Hall 'P 1'
_cell_length_a 4.546
_cell_length_b 7.620
_cell_length_c 9.040
_cell_angle_alpha 118.57
_cell_angle_beta 104.56
_cell_angle_gamma 90.00
loop_
_atom_site_label
_atom_site_type_symbol
_atom_site_fract_x
_atom_site_fract_y
_atom_site_fract_z
_atom_site_occupancy
Rb1 Rb 0.854 0.454 0.709 1
P1 P 0.795 0.883 0.590 1
P2 P 0.516 0.660 0.033 1
Ge1 Ge 0.671 0.934 0.341 1
P3 P 0.484 0.340 0.967 1
P4 P 0.205 0.117 0.410 1
Rb2 Rb 0.000 0.000 0.000 1
Ge2 Ge 0.329 0.066 0.659 1
Rb3 Rb 0.146 0.546 0.291 1
# * theoretical density: 3.312 g cm⁻³
# * magnetization: 0.00 μB per formula unit
# * energy of formation: -0.188 eV/atom
# * V: 263.53 Å³/f.u.
# * SG: C2/m, No. 12



6.
# TaCoCl3 (PBE-GGA, relaxed)
data_TaCoCl3
_symmetry_space_group_name_H-M 'P 1'
_symmetry_Int_Tables_number 1
_symmetry_space_group_name_Hall 'P 1'
_cell_length_a 4.633
_cell_length_b 4.633
_cell_length_c 4.633
_cell_angle_alpha 90.00
_cell_angle_beta 90.00
_cell_angle_gamma 90.00
loop_
_atom_site_label
_atom_site_type_symbol
_atom_site_fract_x
_atom_site_fract_y
_atom_site_fract_z
_atom_site_occupancy
Cl1 Cl 0.000 0.500 0.000 1
Cl2 Cl 0.500 0.000 0.000 1
Cl3 Cl 0.000 0.000 0.500 1
Co1 Co 0.000 0.000 0.000 1
Ta1 Ta 0.500 0.500 0.500 1
# * theoretical density: 5.783 g cm⁻³
# * magnetization: 1.37 μB per formula unit
# * E_tot: -21.416 eV/cell
# * V: 99.42 Å³/f.u.
# * SG: Pm-3m, No. 221